No. 1
# CsFe3Au | Alexandria | PBE | optimized geometry
# V, Å³/cell: 108
# DFT formation energy, eV per atom: 2.436
data_CsFe3Au
_chemical_formula_sum 'Cs1 Fe3 Au1'
_space_group_name_H-M_alt 'P 1'
_space_group_IT_number 1
_cell_length_a 4.758
_cell_length_b 4.758
_cell_length_c 4.758
_cell_angle_alpha 90.00
_cell_angle_beta 90.00
_cell_angle_gamma 90.00
loop_
_space_group_symop_operation_xyz
'x,y,z'
loop_
_atom_site_label
_atom_site_fract_x
_atom_site_fract_y
_atom_site_fract_z
Cs1 0.000 0.000 0.000
Fe1 0.000 0.000 0.500
Fe2 0.000 0.500 0.000
Fe3 0.500 0.000 0.000
Au1 0.500 0.500 0.500

No. 2
# CsFeAu3 | Alexandria | PBE | optimized geometry
# V, Å³/cell: 136
# DFT formation energy, eV per atom: 0.234
data_CsFeAu3
_chemical_formula_sum 'Cs1 Fe1 Au3'
_space_group_name_H-M_alt 'P 1'
_space_group_IT_number 1
_cell_length_a 5.137
_cell_length_b 5.137
_cell_length_c 5.137
_cell_angle_alpha 90.00
_cell_angle_beta 90.00
_cell_angle_gamma 90.00
loop_
_space_group_symop_operation_xyz
'x,y,z'
loop_
_atom_site_label
_atom_site_fract_x
_atom_site_fract_y
_atom_site_fract_z
Fe1 0.000 0.000 0.000
Au1 0.500 0.000 0.000
Au2 0.000 0.000 0.500
Cs1 0.500 0.500 0.500
Au3 0.000 0.500 0.000

No. 3
# CsFeGeAu | Alexandria | PBE | optimized geometry
# V, Å³/cell: 346
# DFT formation energy, eV per atom: 0.089
data_CsFeGeAu
_chemical_formula_sum 'Cs3 Fe3 Ge3 Au3'
_space_group_name_H-M_alt 'P 1'
_space_group_IT_number 1
_cell_length_a 4.432
_cell_length_b 4.432
_cell_length_c 20.306
_cell_angle_alpha 90.00
_cell_angle_beta 90.00
_cell_angle_gamma 120.00
loop_
_space_group_symop_operation_xyz
'x,y,z'
loop_
_atom_site_label
_atom_site_fract_x
_atom_site_fract_y
_atom_site_fract_z
Ge1 0.333 0.667 0.339
Fe1 0.333 0.667 0.033
Au1 0.333 0.667 0.718
Au2 0.667 0.333 0.384
Au3 0.000 0.000 0.051
Ge2 0.667 0.333 0.006
Fe2 0.667 0.333 0.700
Cs1 0.333 0.667 0.530
Cs2 0.667 0.333 0.197
Fe3 0.000 0.000 0.366
Ge3 0.000 0.000 0.672
Cs3 0.000 0.000 0.863

No. 4
# CsFeGeAu | Alexandria | PBE | optimized geometry
# V, Å³/cell: 348
# DFT formation energy, eV per atom: 0.102
data_CsFeGeAu
_chemical_formula_sum 'Cs3 Fe3 Ge3 Au3'
_space_group_name_H-M_alt 'P 1'
_space_group_IT_number 1
_cell_length_a 4.444
_cell_length_b 4.444
_cell_length_c 20.348
_cell_angle_alpha 90.00
_cell_angle_beta 90.00
_cell_angle_gamma 120.00
loop_
_space_group_symop_operation_xyz
'x,y,z'
loop_
_atom_site_label
_atom_site_fract_x
_atom_site_fract_y
_atom_site_fract_z
Ge1 0.667 0.333 0.383
Au1 0.667 0.333 0.676
Fe1 0.333 0.667 0.367
Ge2 0.000 0.000 0.050
Au2 0.000 0.000 0.343
Cs1 0.667 0.333 0.860
Fe2 0.667 0.333 0.034
Au3 0.333 0.667 0.010
Fe3 0.000 0.000 0.700
Cs2 0.000 0.000 0.527
Ge3 0.333 0.667 0.716
Cs3 0.333 0.667 0.194

No. 5
# CsFe2AuI8 | Alexandria | PBE | optimized geometry
# V, Å³/cell: 589
# Energy relative to the elements, uncorrected, eV per atom: -0.37
data_CsFe2AuI8
_chemical_formula_sum 'Cs1 Fe2 Au1 I8'
_space_group_name_H-M_alt 'P 1'
_space_group_IT_number 1
_cell_length_a 7.383
_cell_length_b 7.383
_cell_length_c 11.535
_cell_angle_alpha 77.78
_cell_angle_beta 77.78
_cell_angle_gamma 76.55
loop_
_space_group_symop_operation_xyz
'x,y,z'
loop_
_atom_site_label
_atom_site_fract_x
_atom_site_fract_y
_atom_site_fract_z
Fe1 0.610 0.610 0.228
I1 0.694 0.694 0.409
Fe2 0.390 0.390 0.772
I2 0.770 0.770 0.014
I3 0.744 0.294 0.770
I4 0.706 0.256 0.230
I5 0.256 0.706 0.230
I6 0.306 0.306 0.591
I7 0.294 0.744 0.770
I8 0.230 0.230 0.986
Au1 0.000 0.000 0.000
Cs1 0.000 0.000 0.500

No. 6
# CsMg2FeAu | Alexandria | PBE | optimized geometry
# V, Å³/cell: 161
# DFT formation energy, eV per atom: 1.926
data_CsMg2FeAu
_chemical_formula_sum 'Cs1 Mg2 Fe1 Au1'
_space_group_name_H-M_alt 'P 1'
_space_group_IT_number 1
_cell_length_a 5.883
_cell_length_b 4.664
_cell_length_c 5.883
_cell_angle_alpha 90.00
_cell_angle_beta 90.00
_cell_angle_gamma 90.00
loop_
_space_group_symop_operation_xyz
'x,y,z'
loop_
_atom_site_label
_atom_site_fract_x
_atom_site_fract_y
_atom_site_fract_z
Au1 0.500 0.500 0.500
Cs1 0.000 0.000 0.000
Fe1 0.000 0.500 0.000
Mg1 0.000 0.000 0.500
Mg2 0.500 0.000 0.000

No. 7
# Cs2SrFeAu | Alexandria | PBE | optimized geometry
# V, Å³/cell: 301
# DFT formation energy, eV per atom: 0.962
data_Cs2SrFeAu
_chemical_formula_sum 'Cs2 Sr1 Fe1 Au1'
_space_group_name_H-M_alt 'P 1'
_space_group_IT_number 1
_cell_length_a 7.554
_cell_length_b 5.271
_cell_length_c 7.554
_cell_angle_alpha 90.00
_cell_angle_beta 90.00
_cell_angle_gamma 90.00
loop_
_space_group_symop_operation_xyz
'x,y,z'
loop_
_atom_site_label
_atom_site_fract_x
_atom_site_fract_y
_atom_site_fract_z
Cs1 0.000 0.000 0.500
Fe1 0.000 0.500 0.000
Au1 0.500 0.500 0.500
Cs2 0.500 0.000 0.000
Sr1 0.000 0.000 0.000

No. 8
# CsGa5Au6 | Alexandria | PBE | optimized geometry
# V, Å³/cell: 272
# DFT formation energy, eV per atom: -0.149
data_CsGa5Au6
_chemical_formula_sum 'Cs1 Ga5 Au6'
_space_group_name_H-M_alt 'P 1'
_space_group_IT_number 1
_cell_length_a 6.787
_cell_length_b 6.946
_cell_length_c 7.064
_cell_angle_alpha 80.07
_cell_angle_beta 69.33
_cell_angle_gamma 60.75
loop_
_space_group_symop_operation_xyz
'x,y,z'
loop_
_atom_site_label
_atom_site_fract_x
_atom_site_fract_y
_atom_site_fract_z
Ga1 0.000 0.000 0.500
Au1 0.623 0.420 0.691
Au2 0.377 0.580 0.309
Ga2 0.308 0.384 0.000
Ga3 0.692 0.616 0.000
Au3 0.957 0.420 0.309
Ga4 0.614 0.773 0.500
Au4 0.594 0.000 0.777
Au5 0.043 0.580 0.691
Au6 0.406 0.000 0.223
Cs1 0.000 0.000 0.000
Ga5 0.386 0.227 0.500

No. 9
# Cs2Ga3Au8 | Alexandria | PBE | optimized geometry
# V, Å³/cell: 344
# DFT formation energy, eV per atom: -0.188
data_Cs2Ga3Au8
_chemical_formula_sum 'Cs2 Ga3 Au8'
_space_group_name_H-M_alt 'P 1'
_space_group_IT_number 1
_cell_length_a 7.889
_cell_length_b 7.196
_cell_length_c 7.139
_cell_angle_alpha 120.26
_cell_angle_beta 99.23
_cell_angle_gamma 90.00
loop_
_space_group_symop_operation_xyz
'x,y,z'
loop_
_atom_site_label
_atom_site_fract_x
_atom_site_fract_y
_atom_site_fract_z
Cs1 0.706 0.744 0.489
Ga1 0.000 0.740 0.000
Au1 0.665 0.668 0.950
Ga2 0.000 0.260 0.000
Au2 0.855 0.332 0.663
Au3 0.843 0.107 0.215
Au4 0.157 0.893 0.785
Cs2 0.294 0.256 0.511
Au5 0.145 0.668 0.337
Au6 0.335 0.332 0.050
Au7 0.665 0.282 0.950
Ga3 0.500 0.000 0.000
Au8 0.335 0.718 0.050

No. 10
# Cs3Ga2Au4 | Alexandria | PBE | optimized geometry
# V, Å³/cell: 303
# DFT formation energy, eV per atom: -0.271
data_Cs3Ga2Au4
_chemical_formula_sum 'Cs3 Ga2 Au4'
_space_group_name_H-M_alt 'P 1'
_space_group_IT_number 1
_cell_length_a 4.649
_cell_length_b 7.394
_cell_length_c 9.747
_cell_angle_alpha 107.01
_cell_angle_beta 90.00
_cell_angle_gamma 108.32
loop_
_space_group_symop_operation_xyz
'x,y,z'
loop_
_atom_site_label
_atom_site_fract_x
_atom_site_fract_y
_atom_site_fract_z
Ga1 0.669 0.338 0.306
Au1 0.270 0.539 0.921
Cs1 0.601 0.202 0.687
Au2 0.730 0.461 0.079
Ga2 0.331 0.662 0.694
Cs2 0.399 0.798 0.313
Cs3 0.000 0.000 0.000
Au3 0.816 0.631 0.574
Au4 0.184 0.369 0.426

No. 11
# CsGaAu2 | Alexandria | PBE | optimized geometry
# V, Å³/cell: 510
# DFT formation energy, eV per atom: -0.221
data_CsGaAu2
_chemical_formula_sum 'Cs4 Ga4 Au8'
_space_group_name_H-M_alt 'P 1'
_space_group_IT_number 1
_cell_length_a 7.064
_cell_length_b 5.526
_cell_length_c 13.076
_cell_angle_alpha 89.97
_cell_angle_beta 90.00
_cell_angle_gamma 90.00
loop_
_space_group_symop_operation_xyz
'x,y,z'
loop_
_atom_site_label
_atom_site_fract_x
_atom_site_fract_y
_atom_site_fract_z
Ga1 0.500 0.250 0.000
Au1 0.688 0.999 0.525
Au2 0.688 0.499 0.475
Ga2 0.000 0.750 0.500
Ga3 0.500 0.750 0.000
Au3 0.188 0.001 0.025
Au4 0.812 0.999 0.975
Au5 0.188 0.501 0.975
Au6 0.812 0.499 0.025
Ga4 0.000 0.250 0.500
Au7 0.312 0.001 0.475
Cs1 0.250 0.500 0.250
Cs2 0.750 0.000 0.250
Cs3 0.250 0.000 0.750
Cs4 0.750 0.500 0.750
Au8 0.312 0.501 0.525

No. 12
# Cs2GaAu4 | Alexandria | PBE | optimized geometry
# V, Å³/cell: 244
# DFT formation energy, eV per atom: -0.166
data_Cs2GaAu4
_chemical_formula_sum 'Cs2 Ga1 Au4'
_space_group_name_H-M_alt 'P 1'
_space_group_IT_number 1
_cell_length_a 5.132
_cell_length_b 5.132
_cell_length_c 9.943
_cell_angle_alpha 75.04
_cell_angle_beta 75.04
_cell_angle_gamma 90.00
loop_
_space_group_symop_operation_xyz
'x,y,z'
loop_
_atom_site_label
_atom_site_fract_x
_atom_site_fract_y
_atom_site_fract_z
Ga1 0.000 0.000 0.000
Cs1 0.652 0.652 0.697
Au1 0.141 0.141 0.719
Au2 0.000 0.500 0.000
Au3 0.500 0.000 0.000
Cs2 0.348 0.348 0.303
Au4 0.859 0.859 0.281

No. 13
# Cs2Ga2Au5 | Alexandria | PBE | optimized geometry
# V, Å³/cell: 314
# DFT formation energy, eV per atom: -0.231
data_Cs2Ga2Au5
_chemical_formula_sum 'Cs2 Ga2 Au5'
_space_group_name_H-M_alt 'P 1'
_space_group_IT_number 1
_cell_length_a 4.702
_cell_length_b 7.516
_cell_length_c 9.453
_cell_angle_alpha 97.58
_cell_angle_beta 90.00
_cell_angle_gamma 108.23
loop_
_space_group_symop_operation_xyz
'x,y,z'
loop_
_atom_site_label
_atom_site_fract_x
_atom_site_fract_y
_atom_site_fract_z
Cs1 0.394 0.789 0.711
Ga1 0.142 0.283 0.864
Au1 0.000 0.000 0.000
Au2 0.705 0.410 0.935
Cs2 0.606 0.211 0.289
Au3 0.928 0.855 0.393
Au4 0.295 0.590 0.065
Au5 0.072 0.145 0.607
Ga2 0.858 0.717 0.136

No. 14
# CsGa3Au3 | Alexandria | PBE | optimized geometry
# V, Å³/cell: 390
# DFT formation energy, eV per atom: -0.221
data_CsGa3Au3
_chemical_formula_sum 'Cs2 Ga6 Au6'
_space_group_name_H-M_alt 'P 1'
_space_group_IT_number 1
_cell_length_a 7.305
_cell_length_b 7.305
_cell_length_c 7.305
_cell_angle_alpha 90.00
_cell_angle_beta 90.00
_cell_angle_gamma 90.00
loop_
_space_group_symop_operation_xyz
'x,y,z'
loop_
_atom_site_label
_atom_site_fract_x
_atom_site_fract_y
_atom_site_fract_z
Cs1 0.500 0.500 0.500
Ga1 0.500 0.000 0.750
Ga2 0.000 0.750 0.500
Ga3 0.250 0.500 0.000
Ga4 0.000 0.250 0.500
Ga5 0.750 0.500 0.000
Au1 0.500 0.250 0.000
Au2 0.750 0.000 0.500
Ga6 0.500 0.000 0.250
Au3 0.500 0.750 0.000
Cs2 0.000 0.000 0.000
Au4 0.000 0.500 0.750
Au5 0.250 0.000 0.500
Au6 0.000 0.500 0.250

No. 15
# Cs3Ga4Au2 | Alexandria | PBE | optimized geometry
# V, Å³/cell: 345
# DFT formation energy, eV per atom: -0.164
data_Cs3Ga4Au2
_chemical_formula_sum 'Cs3 Ga4 Au2'
_space_group_name_H-M_alt 'P 1'
_space_group_IT_number 1
_cell_length_a 4.669
_cell_length_b 8.561
_cell_length_c 10.846
_cell_angle_alpha 55.51
_cell_angle_beta 102.43
_cell_angle_gamma 90.00
loop_
_space_group_symop_operation_xyz
'x,y,z'
loop_
_atom_site_label
_atom_site_fract_x
_atom_site_fract_y
_atom_site_fract_z
Cs1 0.771 0.199 0.542
Au1 0.409 0.790 0.818
Ga1 0.078 0.378 0.155
Au2 0.591 0.210 0.182
Ga2 0.922 0.622 0.845
Ga3 0.442 0.411 0.884
Cs2 0.000 0.000 0.000
Cs3 0.229 0.801 0.458
Ga4 0.558 0.589 0.116

No. 16
# CsGaAu3 | Alexandria | PBE | optimized geometry
# V, Å³/cell: 326
# DFT formation energy, eV per atom: -0.186
data_CsGaAu3
_chemical_formula_sum 'Cs2 Ga2 Au6'
_space_group_name_H-M_alt 'P 1'
_space_group_IT_number 1
_cell_length_a 5.044
_cell_length_b 8.453
_cell_length_c 7.653
_cell_angle_alpha 93.49
_cell_angle_beta 89.99
_cell_angle_gamma 89.97
loop_
_space_group_symop_operation_xyz
'x,y,z'
loop_
_atom_site_label
_atom_site_fract_x
_atom_site_fract_y
_atom_site_fract_z
Au1 0.304 0.358 0.216
Ga1 0.090 0.748 0.705
Au2 0.513 0.717 0.521
Ga2 0.590 0.605 0.196
Au3 0.013 0.636 0.380
Au4 0.803 0.995 0.686
Cs1 0.319 0.313 0.704
Au5 0.152 0.654 0.023
Au6 0.652 0.699 0.878
Cs2 0.820 0.040 0.198

No. 17
# CsGa3Au | Alexandria | PBE | optimized geometry
# V, Å³/cell: 237
# DFT formation energy, eV per atom: 1.357
data_CsGa3Au
_chemical_formula_sum 'Cs1 Ga3 Au1'
_space_group_name_H-M_alt 'P 1'
_space_group_IT_number 1
_cell_length_a 6.187
_cell_length_b 6.187
_cell_length_c 6.187
_cell_angle_alpha 90.00
_cell_angle_beta 90.00
_cell_angle_gamma 90.00
loop_
_space_group_symop_operation_xyz
'x,y,z'
loop_
_atom_site_label
_atom_site_fract_x
_atom_site_fract_y
_atom_site_fract_z
Ga1 0.500 0.000 0.000
Cs1 0.000 0.000 0.000
Ga2 0.000 0.500 0.000
Ga3 0.000 0.000 0.500
Au1 0.500 0.500 0.500

No. 18
# CsGa3Au2 | Alexandria | PBE | optimized geometry
# V, Å³/cell: 330
# DFT formation energy, eV per atom: -0.232
data_CsGa3Au2
_chemical_formula_sum 'Cs2 Ga6 Au4'
_space_group_name_H-M_alt 'P 1'
_space_group_IT_number 1
_cell_length_a 4.655
_cell_length_b 8.385
_cell_length_c 9.246
_cell_angle_alpha 107.11
_cell_angle_beta 90.00
_cell_angle_gamma 106.12
loop_
_space_group_symop_operation_xyz
'x,y,z'
loop_
_atom_site_label
_atom_site_fract_x
_atom_site_fract_y
_atom_site_fract_z
Cs1 0.138 0.276 0.060
Cs2 0.862 0.724 0.940
Au1 0.476 0.951 0.744
Ga1 0.684 0.367 0.439
Ga2 0.990 0.981 0.641
Ga3 0.010 0.019 0.359
Ga4 0.316 0.633 0.561
Ga5 0.634 0.267 0.713
Ga6 0.366 0.733 0.287
Au2 0.161 0.322 0.598
Au3 0.524 0.049 0.256
Au4 0.839 0.678 0.402

No. 19
# Cs3Ga6Au5 | Alexandria | PBE | optimized geometry
# V, Å³/cell: 855
# DFT formation energy, eV per atom: -0.243
data_Cs3Ga6Au5
_chemical_formula_sum 'Cs6 Ga12 Au10'
_space_group_name_H-M_alt 'P 1'
_space_group_IT_number 1
_cell_length_a 4.555
_cell_length_b 14.151
_cell_length_c 13.257
_cell_angle_alpha 90.00
_cell_angle_beta 90.00
_cell_angle_gamma 90.00
loop_
_space_group_symop_operation_xyz
'x,y,z'
loop_
_atom_site_label
_atom_site_fract_x
_atom_site_fract_y
_atom_site_fract_z
Ga1 0.500 0.992 0.332
Ga2 0.500 0.515 0.000
Au1 0.500 0.089 0.500
Ga3 0.500 0.450 0.198
Au2 0.500 0.097 0.168
Ga4 0.500 0.992 0.668
Ga5 0.500 0.450 0.802
Cs1 0.000 0.250 0.335
Ga6 0.000 0.550 0.698
Cs2 0.000 0.250 0.665
Cs3 0.500 0.750 0.165
Au3 0.000 0.509 0.891
Ga7 0.000 0.001 0.500
Cs4 0.000 0.255 0.000
Ga8 0.000 0.485 0.500
Au4 0.000 0.903 0.668
Ga9 0.000 0.008 0.168
Au5 0.000 0.903 0.332
Au6 0.000 0.509 0.109
Au7 0.500 0.491 0.391
Ga10 0.500 0.999 0.000
Au8 0.500 0.097 0.832
Cs5 0.500 0.745 0.500
Au9 0.500 0.491 0.609
Ga11 0.000 0.008 0.832
Au10 0.000 0.911 0.000
Ga12 0.000 0.550 0.302
Cs6 0.500 0.750 0.835

No. 20
# CsGa5Au2 | Alexandria | PBE | optimized geometry
# V, Å³/cell: 183
# DFT formation energy, eV per atom: -0.164
data_CsGa5Au2
_chemical_formula_sum 'Cs1 Ga5 Au2'
_space_group_name_H-M_alt 'P 1'
_space_group_IT_number 1
_cell_length_a 4.516
_cell_length_b 7.488
_cell_length_c 6.961
_cell_angle_alpha 122.54
_cell_angle_beta 108.93
_cell_angle_gamma 90.00
loop_
_space_group_symop_operation_xyz
'x,y,z'
loop_
_atom_site_label
_atom_site_fract_x
_atom_site_fract_y
_atom_site_fract_z
Ga1 0.000 0.500 0.000
Ga2 0.353 0.540 0.706
Ga3 0.647 0.460 0.294
Ga4 0.647 0.833 0.294
Au1 0.236 0.736 0.472
Au2 0.764 0.264 0.528
Cs1 0.000 0.000 0.000
Ga5 0.353 0.167 0.706